Record 1
# K3ZnF7 (PBE, optimized geometry)
data_K3ZnF7
_cell_length_a 8.799
_cell_length_b 9.227
_cell_length_c 6.051
_cell_angle_alpha 90.00
_cell_angle_beta 127.64
_cell_angle_gamma 90.00
_symmetry_space_group_name_H-M 'C 1 m 1'
_symmetry_Int_Tables_number 8
_symmetry_space_group_name_Hall 'C -2y'
loop_
_atom_site_label
_atom_site_type_symbol
_atom_site_fract_x
_atom_site_fract_y
_atom_site_fract_z
K1 K 0.000 0.000 0.000
K2 K 0.454 0.231 0.478
Zn1 Zn 0.049 0.500 0.064
F1 F 0.050 0.292 0.058
F2 F 0.144 0.500 0.849
F3 F 0.213 0.105 0.534
F4 F 0.300 0.500 0.457
F5 F 0.367 0.000 0.142
# E_tot (eV per atom): -3.77
# Raw formation energy (kJ/mol of formula units): -2298
# Total moment (μB/atom): 0.191

Record 2
# AcTb2In (PBE, optimized geometry)
data_AcTb2In
_cell_length_a 5.050
_cell_length_b 5.050
_cell_length_c 5.014
_cell_angle_alpha 90.00
_cell_angle_beta 90.00
_cell_angle_gamma 90.00
_symmetry_space_group_name_H-M 'P 4/m m m'
_symmetry_Int_Tables_number 123
_symmetry_space_group_name_Hall '-P 4 2'
loop_
_atom_site_label
_atom_site_type_symbol
_atom_site_fract_x
_atom_site_fract_y
_atom_site_fract_z
Ac1 Ac 0.000 0.000 0.000
Tb1 Tb 0.000 0.500 0.500
In1 In 0.500 0.500 0.000
# E_tot (eV per atom): -4.21
# Energy relative to the elements (eV/atom): -0.184
# Energy relative to the lowest polymorph listed for this composition (eV/f.u.): 0.12
# Total moment (μB/atom): 0.106

Record 3
# TbCe2Ir2 (PBE, optimized geometry)
data_TbCe2Ir2
_cell_length_a 7.776
_cell_length_b 7.776
_cell_length_c 3.863
_cell_angle_alpha 90.00
_cell_angle_beta 90.00
_cell_angle_gamma 90.00
_symmetry_space_group_name_H-M 'P 4/m b m'
_symmetry_Int_Tables_number 127
_symmetry_space_group_name_Hall '-P 4 2ab'
loop_
_atom_site_label
_atom_site_type_symbol
_atom_site_fract_x
_atom_site_fract_y
_atom_site_fract_z
Tb1 Tb 0.000 0.000 0.000
Ce1 Ce 0.163 0.337 0.500
Ir1 Ir 0.140 0.640 0.000
# E_tot (eV per atom): -7.52
# Energy relative to the elements (eV/atom): -0.679
# Energy relative to the lowest polymorph listed for this composition (eV/f.u.): 0.00
# Total moment (μB/atom): 0.000

Record 4
# GaSiH2 (PBE, optimized geometry)
data_GaSiH2
_cell_length_a 2.663
_cell_length_b 8.581
_cell_length_c 4.347
_cell_angle_alpha 90.00
_cell_angle_beta 107.82
_cell_angle_gamma 90.00
_symmetry_space_group_name_H-M 'C 1 2 1'
_symmetry_Int_Tables_number 5
_symmetry_space_group_name_Hall 'C 2y'
loop_
_atom_site_label
_atom_site_type_symbol
_atom_site_fract_x
_atom_site_fract_y
_atom_site_fract_z
Ga1 Ga 0.000 0.000 0.000
Si1 Si 0.000 0.677 0.500
H1 H 0.054 0.813 0.761
# E_tot (eV per atom): -3.53
# Energy relative to the lowest polymorph listed for this composition (eV/f.u.): 0.49
# Total moment (μB/atom): 0.000

Record 5
# Cs3Hg2Br7 (PBE, optimized geometry)
data_Cs3Hg2Br7
_cell_length_a 5.809
_cell_length_b 28.306
_cell_length_c 5.664
_cell_angle_alpha 90.00
_cell_angle_beta 90.00
_cell_angle_gamma 90.00
_symmetry_space_group_name_H-M 'C m m m'
_symmetry_Int_Tables_number 65
_symmetry_space_group_name_Hall '-C 2 2'
loop_
_atom_site_label
_atom_site_type_symbol
_atom_site_fract_x
_atom_site_fract_y
_atom_site_fract_z
Cs1 Cs 0.000 0.000 0.000
Cs2 Cs 0.000 0.180 0.000
Hg1 Hg 0.000 0.399 0.500
Br1 Br 0.000 0.095 0.500
Br2 Br 0.000 0.302 0.500
Br3 Br 0.000 0.404 0.000
Br4 Br 0.000 0.500 0.500
# E_tot (eV per atom): -2.35
# Raw formation energy (kJ/mol of formula units): -1286
# Total moment (μB/atom): 0.000

Record 6
# K2As2S (PBE, optimized geometry)
data_K2As2S
_cell_length_a 8.378
_cell_length_b 8.378
_cell_length_c 5.349
_cell_angle_alpha 90.00
_cell_angle_beta 90.00
_cell_angle_gamma 90.00
_symmetry_space_group_name_H-M 'P 4/m b m'
_symmetry_Int_Tables_number 127
_symmetry_space_group_name_Hall '-P 4 2ab'
loop_
_atom_site_label
_atom_site_type_symbol
_atom_site_fract_x
_atom_site_fract_y
_atom_site_fract_z
K1 K 0.199 0.301 0.000
As1 As 0.092 0.592 0.500
S1 S 0.000 0.000 0.000
# E_tot (eV per atom): -3.34
# Energy relative to the lowest polymorph listed for this composition (eV/f.u.): 1.03
# Raw formation energy (kJ/mol of formula units): -102
# Total moment (μB/atom): 0.000

Record 7
# Pr4P2I (PBE, optimized geometry)
data_Pr4P2I
_cell_length_a 4.1737
_cell_length_b 4.1737
_cell_length_c 43.7546
_cell_angle_alpha 90.00
_cell_angle_beta 90.00
_cell_angle_gamma 120.00
_symmetry_space_group_name_H-M 'R -3 m'
_symmetry_Int_Tables_number 166
_symmetry_space_group_name_Hall '-R 3 2"'
loop_
_atom_site_label
_atom_site_type_symbol
_atom_site_fract_x
_atom_site_fract_y
_atom_site_fract_z
Pr1 Pr 0.0000 0.0000 0.1268
Pr2 Pr 0.0000 0.0000 0.2775
P1 P 0.0000 0.0000 0.4237
I1 I 0.0000 0.0000 0.0000
# E_tot (eV per atom): -5.68
# Raw formation energy (kJ/mol of formula units): -796
# Total moment (μB/atom): 0.061

Record 8
# Ac4PrY (PBE, optimized geometry)
data_Ac4PrY
_cell_length_a 12.354
_cell_length_b 12.360
_cell_length_c 3.822
_cell_angle_alpha 90.00
_cell_angle_beta 90.00
_cell_angle_gamma 90.00
_symmetry_space_group_name_H-M 'C m m m'
_symmetry_Int_Tables_number 65
_symmetry_space_group_name_Hall '-C 2 2'
loop_
_atom_site_label
_atom_site_type_symbol
_atom_site_fract_x
_atom_site_fract_y
_atom_site_fract_z
Ac1 Ac 0.000 0.234 0.000
Ac2 Ac 0.238 0.500 0.500
Pr1 Pr 0.000 0.500 0.000
Y1 Y 0.000 0.000 0.500
# E_tot (eV per atom): -4.09
# Energy relative to the elements (eV/atom): 0.523
# Energy relative to the lowest polymorph listed for this composition (eV/f.u.): 2.35
# Total moment (μB/atom): 0.000

Record 9
# BaPaSe (PBE, optimized geometry)
data_BaPaSe
_cell_length_a 3.919
_cell_length_b 3.919
_cell_length_c 13.002
_cell_angle_alpha 90.00
_cell_angle_beta 90.00
_cell_angle_gamma 90.00
_symmetry_space_group_name_H-M 'P 4/m m m'
_symmetry_Int_Tables_number 123
_symmetry_space_group_name_Hall '-P 4 2'
loop_
_atom_site_label
_atom_site_type_symbol
_atom_site_fract_x
_atom_site_fract_y
_atom_site_fract_z
Ba1 Ba 0.000 0.000 0.151
Pa1 Pa 0.500 0.500 0.402
Se1 Se 0.000 0.000 0.500
Se2 Se 0.500 0.500 0.000
# E_tot (eV per atom): -5.52
# Raw formation energy (kJ/mol of formula units): -161
# Total moment (μB/atom): 0.000

Question: Look up the E_tot of the ninth one.
Answer: -5.52 eV per atom

Question: Among the records above, which one has the highest total moment?
Answer: K3ZnF7

Please write out number 2 again, unchanged.
# AcTb2In (PBE, optimized geometry)
data_AcTb2In
_cell_length_a 5.050
_cell_length_b 5.050
_cell_length_c 5.014
_cell_angle_alpha 90.00
_cell_angle_beta 90.00
_cell_angle_gamma 90.00
_symmetry_space_group_name_H-M 'P 4/m m m'
_symmetry_Int_Tables_number 123
_symmetry_space_group_name_Hall '-P 4 2'
loop_
_atom_site_label
_atom_site_type_symbol
_atom_site_fract_x
_atom_site_fract_y
_atom_site_fract_z
Ac1 Ac 0.000 0.000 0.000
Tb1 Tb 0.000 0.500 0.500
In1 In 0.500 0.500 0.000
# E_tot (eV per atom): -4.21
# Energy relative to the elements (eV/atom): -0.184
# Energy relative to the lowest polymorph listed for this composition (eV/f.u.): 0.12
# Total moment (μB/atom): 0.106

Question: Among the records above, which one has the lowest E_tot?
Answer: TbCe2Ir2